This record from Alexandria describes an optimized crystal structure of CrNi2Cl. The functional is PBE-GGA.

```
data_CrNi2Cl
_chemical_formula_sum 'Cr3 Ni6 Cl3'
_space_group_name_H-M_alt 'R -3 m'
_space_group_IT_number 166
_space_group_name_Hall '-R 3 2"'
_cell_length_a 2.8875
_cell_length_b 2.8875
_cell_length_c 22.2202
_cell_angle_alpha 90.00
_cell_angle_beta 90.00
_cell_angle_gamma 120.00
loop_
_atom_site_label
_atom_site_fract_x
_atom_site_fract_y
_atom_site_fract_z
Cr1 0.0000 0.0000 0.0000
Ni1 0.0000 0.0000 0.2523
Cl1 0.0000 0.0000 0.5000
```

Properties
The calculation puts the formation energy from raw total energies at 0.338 eV per atom. Its energy above the most stable polymorph in this dataset is 0.148 eV per atom. The crystal system is trigonal.